1.
BaAc2Tl2 | PBE | optimized geometry

Output
V: 196 Å³/f.u.
D(E_F): 0.755 states/eV/atom
Electronic total energy: -3.2310 eV per atom
Energy of formation from the pure elements: -1.3 eV per formula unit
Space group: No. 2

```
data_BaAc2Tl2
_chemical_formula_sum 'Ba2 Ac4 Tl4'
_cell_length_a 5.6208
_cell_length_b 7.7274
_cell_length_c 9.3519
_cell_angle_alpha 75.20
_cell_angle_beta 89.88
_cell_angle_gamma 89.97
_space_group_name_H-M_alt 'P 1'
_space_group_IT_number 1
loop_
_space_group_symop_operation_xyz
'x,y,z'
loop_
_atom_site_label
_atom_site_fract_x
_atom_site_fract_y
_atom_site_fract_z
Ba1 0.2503 0.2048 0.2793
Ba2 0.7497 0.7952 0.7207
Ac1 0.2490 0.7708 0.0404
Ac2 0.2500 0.6784 0.4598
Ac3 0.7500 0.3216 0.5402
Ac4 0.7510 0.2292 0.9596
Tl1 0.2494 0.1084 0.7124
Tl2 0.2515 0.4702 0.8234
Tl3 0.7485 0.5298 0.1766
Tl4 0.7506 0.8916 0.2876
```

=====

2.
Ba3AcTl4 | PBE | optimized geometry

Output
V: 309 Å³/f.u.
D(E_F): 0.857 states/eV/atom
Electronic total energy: -2.8085 eV per atom
Energy of formation from the pure elements: -3.1 eV per formula unit
Space group: No. 123

```
data_Ba3AcTl4
_chemical_formula_sum 'Ba3 Ac1 Tl4'
_cell_length_a 4.2561
_cell_length_b 4.2561
_cell_length_c 17.0548
_cell_angle_alpha 90.00
_cell_angle_beta 90.00
_cell_angle_gamma 90.00
_space_group_name_H-M_alt 'P 1'
_space_group_IT_number 1
loop_
_space_group_symop_operation_xyz
'x,y,z'
loop_
_atom_site_label
_atom_site_fract_x
_atom_site_fract_y
_atom_site_fract_z
Ba1 0.0000 0.0000 0.0000
Ba2 0.0000 0.0000 0.2537
Ba3 0.0000 0.0000 0.7463
Ac1 0.0000 0.0000 0.5000
Tl1 0.5000 0.5000 0.1232
Tl2 0.5000 0.5000 0.3868
Tl3 0.5000 0.5000 0.6132
Tl4 0.5000 0.5000 0.8768
```

=====

3.
BaAcTl2 | PBE | optimized geometry

Output
V: 150 Å³/f.u.
D(E_F): 0.821 states/eV/atom
Electronic total energy: -3.0717 eV per atom
Energy of formation from the pure elements: -1.5 eV per formula unit
Space group: No. 123

```
data_BaAcTl2
_chemical_formula_sum 'Ba1 Ac1 Tl2'
_cell_length_a 4.2071
_cell_length_b 4.2071
_cell_length_c 8.4817
_cell_angle_alpha 90.00
_cell_angle_beta 90.00
_cell_angle_gamma 90.00
_space_group_name_H-M_alt 'P 1'
_space_group_IT_number 1
loop_
_space_group_symop_operation_xyz
'x,y,z'
loop_
_atom_site_label
_atom_site_fract_x
_atom_site_fract_y
_atom_site_fract_z
Ba1 0.0000 0.0000 0.0000
Ac1 0.0000 0.0000 0.5000
Tl1 0.5000 0.5000 0.2693
Tl2 0.5000 0.5000 0.7307
```

=====

4.
BaAc2Tl6 | PBE | optimized geometry

Output
V: 302 Å³/f.u.
D(E_F): 0.930 states/eV/atom
Electronic total energy: -2.9945 eV per atom
Energy of formation from the pure elements: -2.6 eV per formula unit
Space group: No. 191

```
data_BaAc2Tl6
_chemical_formula_sum 'Ba1 Ac2 Tl6'
_cell_length_a 9.4325
_cell_length_b 9.4325
_cell_length_c 3.9193
_cell_angle_alpha 90.00
_cell_angle_beta 90.00
_cell_angle_gamma 120.00
_space_group_name_H-M_alt 'P 1'
_space_group_IT_number 1
loop_
_space_group_symop_operation_xyz
'x,y,z'
loop_
_atom_site_label
_atom_site_fract_x
_atom_site_fract_y
_atom_site_fract_z
Ba1 0.0000 0.0000 0.0000
Ac1 0.3333 0.6667 0.0000
Ac2 0.6667 0.3333 0.0000
Tl1 0.0000 0.3368 0.5000
Tl2 0.0000 0.6632 0.5000
Tl3 0.3368 0.0000 0.5000
Tl4 0.3368 0.3368 0.5000
Tl5 0.6632 0.0000 0.5000
Tl6 0.6632 0.6632 0.5000
```

=====

5.
BaAcTl | PBE | optimized geometry

Output
V: 130 Å³/f.u.
D(E_F): 1.465 states/eV/atom
Electronic total energy: -3.0022 eV per atom
Energy of formation from the pure elements: -0.6 eV per formula unit
Space group: No. 107

```
data_BaAcTl
_chemical_formula_sum 'Ba1 Ac1 Tl1'
_cell_length_a 7.8745
_cell_length_b 7.8745
_cell_length_c 7.8745
_cell_angle_alpha 148.91
_cell_angle_beta 148.91
_cell_angle_gamma 44.54
_space_group_name_H-M_alt 'P 1'
_space_group_IT_number 1
loop_
_space_group_symop_operation_xyz
'x,y,z'
loop_
_atom_site_label
_atom_site_fract_x
_atom_site_fract_y
_atom_site_fract_z
Ba1 0.0000 0.0000 0.0000
Ac1 0.2769 0.2769 0.0000
Tl1 0.6519 0.6519 0.0000
```

=====

6.
Ba5AcTl4 | PBE | optimized geometry

Output
V: 422 Å³/f.u.
D(E_F): 1.157 states/eV/atom
Electronic total energy: -2.6065 eV per atom
Energy of formation from the pure elements: -2.9 eV per formula unit
Space group: No. 123

```
data_Ba5AcTl4
_chemical_formula_sum 'Ba5 Ac1 Tl4'
_cell_length_a 4.2553
_cell_length_b 4.2553
_cell_length_c 23.3178
_cell_angle_alpha 90.00
_cell_angle_beta 90.00
_cell_angle_gamma 90.00
_space_group_name_H-M_alt 'P 1'
_space_group_IT_number 1
loop_
_space_group_symop_operation_xyz
'x,y,z'
loop_
_atom_site_label
_atom_site_fract_x
_atom_site_fract_y
_atom_site_fract_z
Ba1 0.0000 0.0000 0.0000
Ba2 0.0000 0.0000 0.1863
Ba3 0.0000 0.0000 0.3699
Ba4 0.0000 0.0000 0.6301
Ba5 0.0000 0.0000 0.8137
Ac1 0.5000 0.5000 0.5000
Tl1 0.5000 0.5000 0.0937
Tl2 0.5000 0.5000 0.2805
Tl3 0.5000 0.5000 0.7195
Tl4 0.5000 0.5000 0.9063
```

=====

7.
BaAcTl | PBE | optimized geometry

Output
V: 138 Å³/f.u.
D(E_F): 1.051 states/eV/atom
Electronic total energy: -2.8980 eV per atom
Energy of formation from the pure elements: -0.3 eV per formula unit
Space group: No. 216

```
data_BaAcTl
_chemical_formula_sum 'Ba1 Ac1 Tl1'
_cell_length_a 5.8032
_cell_length_b 5.8032
_cell_length_c 5.8032
_cell_angle_alpha 60.00
_cell_angle_beta 60.00
_cell_angle_gamma 60.00
_space_group_name_H-M_alt 'P 1'
_space_group_IT_number 1
loop_
_space_group_symop_operation_xyz
'x,y,z'
loop_
_atom_site_label
_atom_site_fract_x
_atom_site_fract_y
_atom_site_fract_z
Ba1 0.0000 0.0000 0.0000
Ac1 0.5000 0.5000 0.5000
Tl1 0.7500 0.7500 0.7500
```

=====

8.
BaAcTl | PBE | optimized geometry

Output
V: 124 Å³/f.u.
D(E_F): 0.862 states/eV/atom
Electronic total energy: -2.9391 eV per atom
Energy of formation from the pure elements: -0.4 eV per formula unit
Space group: No. 156

```
data_BaAcTl
_chemical_formula_sum 'Ba1 Ac1 Tl1'
_cell_length_a 5.8183
_cell_length_b 5.8183
_cell_length_c 4.2169
_cell_angle_alpha 90.00
_cell_angle_beta 90.00
_cell_angle_gamma 120.00
_space_group_name_H-M_alt 'P 1'
_space_group_IT_number 1
loop_
_space_group_symop_operation_xyz
'x,y,z'
loop_
_atom_site_label
_atom_site_fract_x
_atom_site_fract_y
_atom_site_fract_z
Ba1 0.0000 0.0000 0.0000
Ac1 0.6667 0.3333 0.5640
Tl1 0.3333 0.6667 0.3856
```

=====

9.
Ba5AcTl6 | PBE | optimized geometry

Output
V: 468 Å³/f.u.
D(E_F): 0.809 states/eV/atom
Electronic total energy: -2.7233 eV per atom
Energy of formation from the pure elements: -4.8 eV per formula unit
Space group: No. 12

```
data_Ba5AcTl6
_chemical_formula_sum 'Ba5 Ac1 Tl6'
_cell_length_a 10.4886
_cell_length_b 10.4886
_cell_length_c 6.0902
_cell_angle_alpha 106.67
_cell_angle_beta 106.67
_cell_angle_gamma 47.39
_space_group_name_H-M_alt 'P 1'
_space_group_IT_number 1
loop_
_space_group_symop_operation_xyz
'x,y,z'
loop_
_atom_site_label
_atom_site_fract_x
_atom_site_fract_y
_atom_site_fract_z
Ba1 0.0000 0.0000 0.0000
Ba2 0.1615 0.1615 0.6614
Ba3 0.3209 0.3209 0.3209
Ba4 0.6791 0.6791 0.6791
Ba5 0.8385 0.8385 0.3386
Ac1 0.5000 0.5000 0.0000
Tl1 0.1095 0.5696 0.8398
Tl2 0.2797 0.7203 0.5000
Tl3 0.4304 0.8905 0.1602
Tl4 0.5696 0.1095 0.8398
Tl5 0.7203 0.2797 0.5000
Tl6 0.8905 0.4304 0.1602
```

=====

10.
Ba2AcTl | PBE | optimized geometry

Output
V: 202 Å³/f.u.
D(E_F): 1.614 states/eV/atom
Electronic total energy: -2.4259 eV per atom
Energy of formation from the pure elements: 0.6 eV per formula unit
Space group: No. 166

```
data_Ba2AcTl
_chemical_formula_sum 'Ba2 Ac1 Tl1'
_cell_length_a 14.1479
_cell_length_b 14.1479
_cell_length_c 14.1479
_cell_angle_alpha 16.62
_cell_angle_beta 16.62
_cell_angle_gamma 16.62
_space_group_name_H-M_alt 'P 1'
_space_group_IT_number 1
loop_
_space_group_symop_operation_xyz
'x,y,z'
loop_
_atom_site_label
_atom_site_fract_x
_atom_site_fract_y
_atom_site_fract_z
Ba1 0.0857 0.0857 0.0857
Ba2 0.9143 0.9143 0.9143
Ac1 0.5000 0.5000 0.5000
Tl1 0.0000 0.0000 0.0000
```

=====

11.
BaAcYTl | PBE | optimized geometry

Output
V: 151 Å³/f.u.
D(E_F): 1.613 states/eV/atom
Electronic total energy: -3.6078 eV per atom
Energy of formation from the pure elements: 0.4 eV per formula unit
Space group: No. 216

```
data_BaAcYTl
_chemical_formula_sum 'Ba1 Ac1 Y1 Tl1'
_cell_length_a 5.9715
_cell_length_b 5.9715
_cell_length_c 5.9715
_cell_angle_alpha 60.00
_cell_angle_beta 60.00
_cell_angle_gamma 60.00
_space_group_name_H-M_alt 'P 1'
_space_group_IT_number 1
loop_
_space_group_symop_operation_xyz
'x,y,z'
loop_
_atom_site_label
_atom_site_fract_x
_atom_site_fract_y
_atom_site_fract_z
Ba1 0.0000 0.0000 0.0000
Ac1 0.2500 0.2500 0.2500
Y1 0.5000 0.5000 0.5000
Tl1 0.7500 0.7500 0.7500
```

=====

12.
BaAcTlZn | PBE | optimized geometry

Output
V: 139 Å³/f.u.
D(E_F): 1.051 states/eV/atom
Electronic total energy: -2.7116 eV per atom
Energy of formation from the pure elements: -1.2 eV per formula unit
Space group: No. 99

```
data_BaAcTlZn
_chemical_formula_sum 'Ba1 Ac1 Tl1 Zn1'
_cell_length_a 4.0749
_cell_length_b 4.0749
_cell_length_c 8.3779
_cell_angle_alpha 90.00
_cell_angle_beta 90.00
_cell_angle_gamma 90.00
_space_group_name_H-M_alt 'P 1'
_space_group_IT_number 1
loop_
_space_group_symop_operation_xyz
'x,y,z'
loop_
_atom_site_label
_atom_site_fract_x
_atom_site_fract_y
_atom_site_fract_z
Ba1 0.0000 0.0000 0.0000
Ac1 0.0000 0.0000 0.4682
Tl1 0.5000 0.5000 0.7177
Zn1 0.5000 0.5000 0.2622
```

=====

> Which value of energy of formation from the pure elements does entry 7 give?

-0.3 eV per formula unit

=====

> Look up the energy of formation from the pure elements of the tenth one.

0.6 eV per formula unit

=====

> Which formula does entry 3 have?

BaAcTl2